This record from Alexandria via LeMat-Bulk describes Mn4AgSe after structural relaxation. The functional is GGA-PBE.

a b c (Å): 4.922 4.922 4.922
angles (deg): 60.00 60.00 60.00
Element x y z (fractional)
Mn (0.125, 0.125, 0.125)
Mn (0.125, 0.125, 0.624)
Mn (0.125, 0.624, 0.125)
Mn (0.624, 0.125, 0.125)
Ag (0.500, 0.500, 0.500)
Se (0.750, 0.750, 0.750)

Output
* raw formation energy: 0.578 eV/atom
* total energy: -6.59 eV/atom